This record from Alexandria via LeMat-Bulk describes a relaxed structure of Mg6MnCu. The functional is PBE.

Geometry as POSCAR:
```
Mg6MnCu
1.0
4.820 0.000 0.000
0.000 3.064 5.286
0.000 -3.064 5.286
Mg Mn Cu
6 1 1
Direct
0.000 0.000 0.000
0.000 0.011 0.507
0.000 0.498 0.498
0.000 0.507 0.011
0.500 0.337 0.840
0.500 0.840 0.337
0.500 0.840 0.840
0.500 0.337 0.337
```

Properties
Crystal system: orthorhombic
Energy relative to the lowest polymorph listed for this composition in eV/atom: 0.003
SG: Amm2 (38)

---

This record from Alexandria via LeMat-Bulk describes a relaxed structure of Mg2MnCu2. The functional is PBE.

Geometry as POSCAR:
```
Mg2MnCu2
1.0
7.169 0.000 0.000
0.000 7.169 0.000
0.000 0.000 2.872
Mg Mn Cu
4 2 4
Direct
0.176 0.324 0.000
0.324 0.824 0.000
0.676 0.176 0.000
0.824 0.676 0.000
0.000 0.000 0.500
0.500 0.500 0.500
0.124 0.624 0.500
0.376 0.124 0.500
0.624 0.876 0.500
0.876 0.376 0.500
```

Properties
Crystal system: tetragonal
Energy relative to the lowest polymorph listed for this composition in eV/atom: 0.000
SG: P4/mbm (127)

---

This record from Alexandria via LeMat-Bulk describes a relaxed structure of MgMnCu. The functional is PBE.

Geometry as POSCAR:
```
MgMnCu
1.0
-1.458 1.458 5.453
1.458 -1.458 5.453
1.458 1.458 -5.453
Mg Mn Cu
1 1 1
Direct
0.000 0.000 0.000
0.692 0.692 0.000
0.333 0.333 0.000
```

Properties
Crystal system: tetragonal
Energy relative to the lowest polymorph listed for this composition in eV/atom: 0.058
SG: I4mm (107)

---

This record from Alexandria via LeMat-Bulk describes a relaxed structure of MgMnCu. The functional is PBE.

Geometry as POSCAR:
```
MgMnCu
1.0
4.325 0.000 0.000
-2.163 3.746 0.000
0.000 0.000 5.457
Mg Mn Cu
2 2 2
Direct
0.000 0.000 0.000
0.333 0.667 0.314
0.000 0.000 0.525
0.667 0.333 0.649
0.333 0.667 0.794
0.667 0.333 0.158
```

Properties
Crystal system: trigonal
Energy relative to the lowest polymorph listed for this composition in eV/atom: 0.000
SG: P3m1 (156)

---

This record from Alexandria via LeMat-Bulk describes a relaxed structure of Mg2MnCu. The functional is PBE.

Geometry as POSCAR:
```
Mg2MnCu
1.0
-1.590 2.298 4.600
1.590 -2.298 4.600
1.590 2.298 -4.600
Mg Mn Cu
2 1 1
Direct
0.000 0.000 0.000
0.721 0.221 0.500
0.268 0.768 0.500
0.482 0.482 0.000
```

Properties
Crystal system: orthorhombic
Energy relative to the lowest polymorph listed for this composition in eV/atom: 0.023
SG: Imm2 (44)

---

This record from Alexandria via LeMat-Bulk describes a relaxed structure of MgMnCu. The functional is PBE.

Geometry as POSCAR:
```
MgMnCu
1.0
4.370 0.000 0.000
-2.185 3.785 0.000
0.000 0.000 2.713
Mg Mn Cu
1 1 1
Direct
0.000 0.000 0.000
0.667 0.333 0.409
0.333 0.667 0.683
```

Properties
Crystal system: trigonal
Energy relative to the lowest polymorph listed for this composition in eV/atom: 0.114
SG: P3m1 (156)

---

This record from Alexandria via LeMat-Bulk describes a relaxed structure of MgMnCu2. The functional is PBE.

Geometry as POSCAR:
```
MgMnCu2
1.0
-1.917 1.917 3.849
1.917 -1.917 3.849
1.917 1.917 -3.849
Mg Mn Cu
1 1 2
Direct
0.000 0.000 0.000
0.250 0.750 0.500
0.500 0.500 0.000
0.750 0.250 0.500
```

Properties
Crystal system: tetragonal
SG: I-4m2 (119)

---

This record from Alexandria via LeMat-Bulk describes a relaxed structure of Mg6MnCu. The functional is PBE.

Geometry as POSCAR:
```
Mg6MnCu
1.0
4.824 0.000 0.000
0.000 3.065 5.294
0.000 -3.065 5.294
Mg Mn Cu
6 1 1
Direct
0.000 0.000 0.000
0.000 0.508 0.985
0.000 0.985 0.508
0.500 0.170 0.170
0.500 0.182 0.666
0.500 0.666 0.182
0.000 0.507 0.507
0.500 0.657 0.657
```

Properties
Crystal system: orthorhombic
Energy relative to the lowest polymorph listed for this composition in eV/atom: 0.000
SG: Amm2 (38)

---

This record from Alexandria via LeMat-Bulk describes a relaxed structure of Mg2MnCu. The functional is PBE.

Geometry as POSCAR:
```
Mg2MnCu
1.0
-2.268 2.268 3.162
2.268 -2.268 3.162
2.268 2.268 -3.162
Mg Mn Cu
2 1 1
Direct
0.000 0.000 0.000
0.750 0.250 0.500
0.500 0.500 0.000
0.250 0.750 0.500
```

Properties
Crystal system: tetragonal
Energy relative to the lowest polymorph listed for this composition in eV/atom: 0.036
SG: I-4m2 (119)

---

This record from Alexandria via LeMat-Bulk describes a relaxed structure of Mg2MnCu. The functional is PBE.

Geometry as POSCAR:
```
Mg2MnCu
1.0
4.400 0.000 0.000
0.000 4.400 0.000
0.000 0.000 3.401
Mg Mn Cu
2 1 1
Direct
0.000 0.500 0.000
0.500 0.000 0.000
0.000 0.000 0.500
0.500 0.500 0.500
```

Properties
Crystal system: tetragonal
Energy relative to the lowest polymorph listed for this composition in eV/atom: 0.032
SG: P4/mmm (123)

---

This record from Alexandria via LeMat-Bulk describes a relaxed structure of MgMnCu2. The functional is PBE.

Geometry as POSCAR:
```
MgMnCu2
1.0
1.403 0.810 8.556
-1.403 0.810 8.556
0.000 -1.620 8.556
Mg Mn Cu
1 1 2
Direct
0.000 0.000 0.000
0.500 0.500 0.500
0.246 0.246 0.246
0.754 0.754 0.754
```

Properties
Crystal system: trigonal
SG: R-3m (166)

---

This record from Alexandria via LeMat-Bulk describes a relaxed structure of MgMnCu. The functional is PBE.

Geometry as POSCAR:
```
MgMnCu
1.0
4.556 0.000 0.000
0.000 2.933 0.000
-1.126 0.000 6.794
Mg Mn Cu
2 2 2
Direct
0.000 0.000 0.000
0.179 0.500 0.385
0.654 0.000 0.311
0.763 0.500 0.649
0.296 0.000 0.703
0.503 0.500 0.998
```

Properties
Crystal system: monoclinic
Energy relative to the lowest polymorph listed for this composition in eV/atom: 0.089
SG: Pm (6)

---

This record from Alexandria via LeMat-Bulk describes a relaxed structure of MgMnCu2. The functional is PBE.

Geometry as POSCAR:
```
MgMnCu2
1.0
4.232 0.000 0.000
0.000 4.232 0.000
0.000 0.000 3.161
Mg Mn Cu
1 1 2
Direct
0.000 0.000 0.000
0.500 0.500 0.000
0.000 0.500 0.500
0.500 0.000 0.500
```

Properties
Crystal system: tetragonal
SG: P4/mmm (123)

---

This record from Alexandria via LeMat-Bulk describes a relaxed structure of MgMnCu2. The functional is PBE.

Geometry as POSCAR:
```
MgMnCu2
1.0
-1.525 2.156 4.367
1.525 -2.156 4.367
1.525 2.156 -4.367
Mg Mn Cu
1 1 2
Direct
0.000 0.000 0.000
0.275 0.775 0.500
0.518 0.518 0.000
0.744 0.244 0.500
```

Properties
Crystal system: orthorhombic
SG: Imm2 (44)

---

no.,final energy (eV for the cell shown),V (Å³/atom),total magnetic moment (μB per cell)
1,-21.93,19.5,4.07
2,-37.13,14.8,0.03
3,-14.40,15.5,3.62
4,-29.14,14.7,0.01
5,-15.96,16.8,3.72
6,-14.23,15.0,3.47
7,-18.56,14.1,3.84
8,-21.96,19.6,4.03
9,-15.90,16.3,3.63
10,-15.92,16.5,3.45
11,-18.18,14.6,3.72
12,-28.61,15.1,6.81
13,-18.68,14.2,3.66
14,-18.56,14.4,3.82